# 1
Here is NiHgW2 at its PBEsol-relaxed geometry from the Alexandria database. Energies are from meta-GGA SCAN.

a = 2.778 Å, b = 2.778 Å, c = 9.384 Å
α = 81.49°, β = 81.49°, γ = 60.00°
Fractional positions:
Hg: 0.500 0.500 0.500
Ni: 0.000 0.000 0.000
W: 0.258 0.258 0.225
W: 0.742 0.742 0.775

## Properties
The spin magnetization is 0.00 Bohr magnetons per cell. Its calculated total energy is -221.19 eV per formula unit. The calculation puts the formation enthalpy at 0 K at 2.52 eV per formula unit.

=====

# 2
Here is LaYOs at its PBEsol-relaxed geometry from the Alexandria database. Energies are from meta-GGA SCAN.

a = 3.397 Å, b = 3.397 Å, c = 7.221 Å
α = 103.60°, β = 103.60°, γ = 90.00°
Fractional positions:
Y: 0.711 0.711 0.422
Os: 0.329 0.329 0.659
La: 0.960 0.960 0.919

## Properties
The spin magnetization is 0.00 Bohr magnetons per cell. Its calculated total energy is -143.58 eV per formula unit. The calculation puts the formation enthalpy at 0 K at -0.75 eV per formula unit.

=====

# 3
Here is Be5Tc at its PBEsol-relaxed geometry from the Alexandria database. Energies are from meta-GGA SCAN.

a = 3.260 Å, b = 3.242 Å, c = 5.349 Å
α = 90.00°, β = 107.74°, γ = 90.00°
Fractional positions:
Be: 0.328 0.500 0.656
Be: 0.177 0.000 0.353
Be: 0.000 0.500 0.000
Be: 0.823 0.000 0.647
Be: 0.672 0.500 0.344
Tc: 0.500 0.000 0.000

## Properties
The spin magnetization is 0.00 Bohr magnetons per cell. Its calculated total energy is -57.95 eV per formula unit. The calculation puts the formation enthalpy at 0 K at -1.12 eV per formula unit.

=====

# 4
Here is Ce2Ni7P4 at its PBEsol-relaxed geometry from the Alexandria database. Energies are from meta-GGA SCAN.

a = 3.716 Å, b = 9.038 Å, c = 10.226 Å
α = 90.00°, β = 90.00°, γ = 90.00°
Last column: magnetic moment on the atom in μB.
Fractional positions:
Ce: 0.000 0.060 0.002  -0.38
Ce: 0.500 0.940 0.502  -0.38
Ce: 0.000 0.442 0.778  -0.11
Ce: 0.500 0.558 0.278  -0.11
Ni: 0.000 0.078 0.311  -0.04
Ni: 0.500 0.922 0.811  -0.04
Ni: 0.000 0.194 0.566  -0.07
Ni: 0.500 0.806 0.066  -0.07
Ni: 0.000 0.399 0.078  -0.06
Ni: 0.500 0.601 0.578  -0.06
Ni: 0.000 0.441 0.475  -0.04
Ni: 0.500 0.559 0.975  -0.04
Ni: 0.000 0.757 0.899  -0.07
Ni: 0.500 0.243 0.399  -0.07
Ni: 0.000 0.779 0.667  0.01
Ni: 0.500 0.221 0.167  0.01
Ni: 0.000 0.814 0.264  -0.06
Ni: 0.500 0.186 0.764  -0.06
P: 0.000 0.028 0.720  -0.01
P: 0.500 0.972 0.220  -0.01
P: 0.000 0.315 0.283  -0.01
P: 0.500 0.685 0.783  -0.01
P: 0.000 0.654 0.087  -0.01
P: 0.500 0.346 0.587  -0.01
P: 0.000 0.690 0.465  0.00
P: 0.500 0.310 0.965  0.00

## Properties
The spin magnetization is 1.84 Bohr magnetons per cell. Its calculated total energy is -255.35 eV per formula unit. The calculation puts the formation enthalpy at 0 K at -11.42 eV per formula unit.

=====

# 5
Here is ScMnRe at its PBEsol-relaxed geometry from the Alexandria database. Energies are from meta-GGA SCAN.

a = 4.259 Å, b = 4.259 Å, c = 4.259 Å
α = 60.00°, β = 60.00°, γ = 60.00°
Last column: magnetic moment on the atom in μB.
Fractional positions:
Mn: 0.000 0.000 0.000  3.82
Re: 0.500 0.500 0.500  -0.14
Sc: 0.250 0.250 0.250  -0.01

## Properties
The spin magnetization is 3.90 Bohr magnetons per cell. Its calculated total energy is -99.83 eV per formula unit. The calculation puts the formation enthalpy at 0 K at 3.76 eV per formula unit.

=====

# 6
Here is LaAg2Os at its PBEsol-relaxed geometry from the Alexandria database. Energies are from meta-GGA SCAN.

a = 3.202 Å, b = 5.286 Å, c = 5.333 Å
α = 112.89°, β = 90.00°, γ = 107.63°
Last column: magnetic moment on the atom in μB.
Fractional positions:
Os: 0.269 0.539 0.661  0.33
Ag: 0.972 0.945 0.051  0.01
Ag: 0.732 0.463 0.202  0.01
La: 0.527 0.053 0.585  -0.01

## Properties
The spin magnetization is 0.38 Bohr magnetons per cell. Its calculated total energy is -176.25 eV per formula unit. The calculation puts the formation enthalpy at 0 K at 1.47 eV per formula unit.